(1)
DFT (PBE-GGA) results for CuHOs after structural relaxation. Values from VASP.

* E: -6.076 eV/atom
* total moment: 0.00 μB per cell
* density: 14.333 g/cm3

The structure in Quantum ESPRESSO input format:
```
&SYSTEM
  ibrav = 0, nat = 6, ntyp = 3
/
ATOMIC_SPECIES
Cu 63.55 Cu.upf
Os 190.23 Os.upf
H 1.01 H.upf
CELL_PARAMETERS angstrom
2.738 0.029 0.669
0.035 2.806 -0.258
0.951 -2.108 8.119
ATOMIC_POSITIONS crystal
Cu 0.373 0.127 0.376
Cu 0.627 0.873 0.624
Os 0.863 0.637 0.887
Os 0.137 0.363 0.113
H 0.099 0.401 0.652
H 0.901 0.599 0.348
```



(2)
DFT (PBE-GGA) results for Cu3HOs after structural relaxation. Values from VASP.

* distance to the lowest polymorph of the same formula: 0 meV/atom
* total moment: 0.00 μB per cell
* density: 12.055 g/cm3

The structure in Quantum ESPRESSO input format:
```
&SYSTEM
  ibrav = 0, nat = 5, ntyp = 3
/
ATOMIC_SPECIES
Cu 63.55 Cu.upf
H 1.01 H.upf
Os 190.23 Os.upf
CELL_PARAMETERS angstrom
3.747 0.000 0.000
0.000 3.747 0.000
0.000 0.000 3.747
ATOMIC_POSITIONS crystal
Cu 0.000 0.000 0.500
Cu 0.500 0.000 0.000
Cu 0.000 0.500 0.000
H 0.000 0.000 0.000
Os 0.500 0.500 0.500
```



(3)
DFT (PBE-GGA) results for Sc2CuHOs after structural relaxation. Values from VASP.

* E: -6.593 eV/atom
* total moment: 0.00 μB per cell
* density: 7.985 g/cm3

The structure in Quantum ESPRESSO input format:
```
&SYSTEM
  ibrav = 0, nat = 5, ntyp = 4
/
ATOMIC_SPECIES
Os 190.23 Os.upf
Sc 44.96 Sc.upf
Cu 63.55 Cu.upf
H 1.01 H.upf
CELL_PARAMETERS angstrom
4.493 0.000 0.000
0.000 4.493 0.000
0.000 0.000 3.551
ATOMIC_POSITIONS crystal
Os 0.000 0.000 0.500
Sc 0.500 0.000 0.000
Sc 0.000 0.500 0.000
Cu 0.500 0.500 0.500
H 0.000 0.000 0.000
```



(4)
DFT (PBE-GGA) results for Sr2CuH6Os after structural relaxation. Values from VASP.

* E: -4.211 eV/atom
* total moment: 0.00 μB per cell
* density: 5.721 g/cm3

The structure in Quantum ESPRESSO input format:
```
&SYSTEM
  ibrav = 0, nat = 10, ntyp = 4
/
ATOMIC_SPECIES
H 1.01 H.upf
Cu 63.55 Cu.upf
Sr 87.62 Sr.upf
Os 190.23 Os.upf
CELL_PARAMETERS angstrom
-4.496 -2.387 -0.347
2.428 -4.692 0.812
-1.820 2.823 4.159
ATOMIC_POSITIONS crystal
H 0.795 0.694 0.847
H 0.795 0.153 0.847
H 0.205 0.847 0.153
H 0.205 0.847 0.694
H 0.205 0.306 0.153
H 0.795 0.153 0.306
Cu 0.500 0.000 0.000
Sr 0.771 0.667 0.333
Sr 0.229 0.333 0.667
Os 0.000 0.000 0.000
```



(5)
DFT (PBE-GGA) results for Ta2CuHOs after structural relaxation. Values from VASP.

* distance to the lowest polymorph of the same formula: 38 meV/atom
* total moment: 0.00 μB per cell
* density: 15.735 g/cm3

The structure in Quantum ESPRESSO input format:
```
&SYSTEM
  ibrav = 0, nat = 5, ntyp = 4
/
ATOMIC_SPECIES
Ta 180.95 Ta.upf
Os 190.23 Os.upf
H 1.01 H.upf
Cu 63.55 Cu.upf
CELL_PARAMETERS angstrom
4.082 0.000 0.000
0.000 3.905 0.000
0.000 0.000 4.082
ATOMIC_POSITIONS crystal
Ta 0.000 0.000 0.500
Ta 0.500 0.000 0.000
Os 0.000 0.500 0.000
H 0.000 0.000 0.000
Cu 0.500 0.500 0.500
```



(6)
DFT (PBE-GGA) results for Ta2CuHOs after structural relaxation. Values from VASP.

* distance to the lowest polymorph of the same formula: 0 meV/atom
* total moment: 0.00 μB per cell
* density: 15.860 g/cm3

The structure in Quantum ESPRESSO input format:
```
&SYSTEM
  ibrav = 0, nat = 5, ntyp = 4
/
ATOMIC_SPECIES
Cu 63.55 Cu.upf
Os 190.23 Os.upf
H 1.01 H.upf
Ta 180.95 Ta.upf
CELL_PARAMETERS angstrom
-3.554 -1.498 -1.339
1.984 -2.192 -2.815
0.298 -2.942 2.501
ATOMIC_POSITIONS crystal
Cu 0.000 0.000 0.500
Os 0.500 0.500 0.500
H 0.000 0.000 0.000
Ta 0.500 0.000 0.000
Ta 0.000 0.500 0.000
```



(7)
DFT (PBE-GGA) results for TiCuHOs2 after structural relaxation. Values from VASP.

* E: -5.296 eV/atom
* total moment: 1.84 μB per cell
* density: 8.411 g/cm3

The structure in Quantum ESPRESSO input format:
```
&SYSTEM
  ibrav = 0, nat = 5, ntyp = 4
/
ATOMIC_SPECIES
Cu 63.55 Cu.upf
H 1.01 H.upf
Os 190.23 Os.upf
Ti 47.87 Ti.upf
CELL_PARAMETERS angstrom
4.570 0.000 0.000
0.000 4.659 0.000
0.000 0.000 4.570
ATOMIC_POSITIONS crystal
Cu 0.000 0.500 0.000
H 0.500 0.500 0.500
Os 0.500 0.000 0.000
Os 0.000 0.000 0.500
Ti 0.000 0.000 0.000
```



(8)
DFT (PBE-GGA) results for Tl2CuHOs after structural relaxation. Values from VASP.

* E: -3.549 eV/atom
* total moment: 1.29 μB per cell
* density: 8.221 g/cm3

The structure in Quantum ESPRESSO input format:
```
&SYSTEM
  ibrav = 0, nat = 5, ntyp = 4
/
ATOMIC_SPECIES
H 1.01 H.upf
Tl 204.38 Tl.upf
Os 190.23 Os.upf
Cu 63.55 Cu.upf
CELL_PARAMETERS angstrom
-4.364 -2.946 0.779
1.804 -1.595 4.074
-2.273 4.053 2.594
ATOMIC_POSITIONS crystal
H 0.500 0.500 0.500
Tl 0.000 0.000 0.500
Tl 0.500 0.000 0.000
Os 0.000 0.000 0.000
Cu 0.000 0.500 0.000
```



(9)
DFT (PBE-GGA) results for Zr2CuHOs after structural relaxation. Values from VASP.

* distance to the lowest polymorph of the same formula: 89 meV/atom
* total moment: 0.00 μB per cell
* density: 9.735 g/cm3

The structure in Quantum ESPRESSO input format:
```
&SYSTEM
  ibrav = 0, nat = 5, ntyp = 4
/
ATOMIC_SPECIES
Zr 91.22 Zr.upf
Os 190.23 Os.upf
Cu 63.55 Cu.upf
H 1.01 H.upf
CELL_PARAMETERS angstrom
4.575 0.000 0.000
0.000 4.575 0.000
0.000 0.000 3.563
ATOMIC_POSITIONS crystal
Zr 0.500 0.000 0.000
Zr 0.000 0.500 0.000
Os 0.000 0.000 0.500
Cu 0.500 0.500 0.500
H 0.000 0.000 0.000
```



(10)
DFT (PBE-GGA) results for Zr2CuHOs after structural relaxation. Values from VASP.

* distance to the lowest polymorph of the same formula: 0 meV/atom
* total moment: 0.00 μB per cell
* density: 9.973 g/cm3

The structure in Quantum ESPRESSO input format:
```
&SYSTEM
  ibrav = 0, nat = 5, ntyp = 4
/
ATOMIC_SPECIES
Zr 91.22 Zr.upf
Os 190.23 Os.upf
H 1.01 H.upf
Cu 63.55 Cu.upf
CELL_PARAMETERS angstrom
4.631 0.000 0.000
0.000 4.631 0.000
0.000 0.000 3.395
ATOMIC_POSITIONS crystal
Zr 0.500 0.000 0.000
Zr 0.000 0.500 0.000
Os 0.500 0.500 0.500
H 0.000 0.000 0.000
Cu 0.000 0.000 0.500
```



(11)
DFT (PBE-GGA) results for CuPH after structural relaxation. Values from VASP.

* distance to the lowest polymorph of the same formula: 0 meV/atom
* total moment: 0.00 μB per cell
* density: 3.582 g/cm3

The structure in Quantum ESPRESSO input format:
```
&SYSTEM
  ibrav = 0, nat = 6, ntyp = 3
/
ATOMIC_SPECIES
P 30.97 P.upf
H 1.01 H.upf
Cu 63.55 Cu.upf
CELL_PARAMETERS angstrom
-1.339 -3.557 -0.660
-0.481 -0.522 3.792
-5.531 2.157 -0.404
ATOMIC_POSITIONS crystal
P 0.000 0.500 0.289
P 0.500 0.000 0.711
H 0.000 0.500 0.050
H 0.500 0.000 0.950
Cu 0.500 0.500 0.500
Cu 0.000 0.000 0.500
```



(12)
DFT (PBE-GGA) results for CuPH3 after structural relaxation. Values from VASP.

* distance to the lowest polymorph of the same formula: 0 meV/atom
* total moment: 0.00 μB per cell
* density: 2.514 g/cm3

The structure in Quantum ESPRESSO input format:
```
&SYSTEM
  ibrav = 0, nat = 10, ntyp = 3
/
ATOMIC_SPECIES
P 30.97 P.upf
H 1.01 H.upf
Cu 63.55 Cu.upf
CELL_PARAMETERS angstrom
-2.848 3.636 -0.823
-0.284 -0.718 4.619
4.347 4.320 0.193
ATOMIC_POSITIONS crystal
P 0.760 0.811 0.260
P 0.222 0.515 0.799
H 0.265 0.179 0.179
H 0.549 0.552 0.786
H 0.945 0.774 0.418
H 0.195 0.283 0.621
H 0.710 0.141 0.924
H 0.560 0.931 0.413
Cu 0.544 0.400 0.044
Cu 0.995 0.178 0.050
```



(13)
DFT (PBE-GGA) results for CuPH after structural relaxation. Values from VASP.

* distance to the lowest polymorph of the same formula: 12 meV/atom
* total moment: 0.00 μB per cell
* density: 3.891 g/cm3

The structure in Quantum ESPRESSO input format:
```
&SYSTEM
  ibrav = 0, nat = 6, ntyp = 3
/
ATOMIC_SPECIES
Cu 63.55 Cu.upf
H 1.01 H.upf
P 30.97 P.upf
CELL_PARAMETERS angstrom
-1.178 1.216 2.351
-2.391 -3.161 -1.347
0.938 -6.862 4.020
ATOMIC_POSITIONS crystal
Cu 0.722 0.445 0.153
Cu 0.278 0.555 0.847
H 0.097 0.195 0.582
H 0.903 0.805 0.418
P 0.025 0.050 0.781
P 0.975 0.950 0.219
```